Entry from Alexandria: crystalline Zr2Cd2Te at its relaxed geometry (GGA-PBE).

The space group is P4/mbm (No. 127) and the conventional cell measures 7.738, 7.738 and 3.954 Å, with angles of 90.00, 90.00 and 90.00 degrees. The distinct sites, in fractional coordinates, are Zr at (0.172, 0.328, 0.000), Cd at (0.127, 0.627, 0.500) and Te at (0.000, 0.000, 0.500).

The calculation puts the total energy at -0.317 Ry/atom. The value obtained for the polymorph energy (0 for the lowest one) is 328 meV/atom. The formation energy (no corrections) comes out at 99.6 meV/atom. The crystal system is tetragonal. For the density of states at the Fermi level, the calculation gives 0.5685 states/eV/atom.

***

Entry from Alexandria: crystalline TiPPt3 at its relaxed geometry (GGA-PBE).

The space group is Pm-3m (No. 221) and the conventional cell measures 4.497, 4.497 and 4.497 Å, with angles of 90.00, 90.00 and 90.00 degrees. The distinct sites, in fractional coordinates, are Ti at (0.000, 0.000, 0.000), P at (0.500, 0.500, 0.500) and Pt at (0.000, 0.500, 0.500).

The calculation puts the total energy at -0.461 Ry/atom. The value obtained for the polymorph energy (0 for the lowest one) is 0 meV/atom. As for the energy of formation from the pure elements: 0.007 eV/atom. The crystal system is cubic. For the density of states at the Fermi level, the calculation gives 1.1757 states/eV/atom.